Material: Ac2SeClO6
Method: DFT, PBE-GGA
State: relaxed

Values from the calculation:
formation energy (no corrections) = -1.930 eV per atom

Cell: 6.176 6.176 6.176 Å, 65.34 65.34 65.34°
Positions (direct):
Ac (0.000, 0.000, 0.000)
Ac (0.453, 0.453, 0.453)
Se (0.223, 0.223, 0.223)
Cl (0.670, 0.670, 0.670)
O (0.173, 0.173, 0.548)
O (0.173, 0.548, 0.173)
O (0.272, 0.272, 0.898)
O (0.272, 0.898, 0.272)
O (0.548, 0.173, 0.173)
O (0.898, 0.272, 0.272)